The following is a DFT calculation (PBE) of Fe6PtAu after structural relaxation.

abc: 6.512 6.512 10.615
angles: 90.00 90.00 109.78
Positions (direct):
Fe: 0.000 0.000 0.000
Fe: 0.000 0.000 0.500
Fe: 0.121 0.372 0.124
Fe: 0.121 0.372 0.876
Fe: 0.123 0.372 0.373
Fe: 0.123 0.372 0.627
Fe: 0.249 0.751 0.248
Fe: 0.249 0.751 0.752
Fe: 0.372 0.121 0.124
Fe: 0.372 0.121 0.876
Fe: 0.372 0.123 0.373
Fe: 0.372 0.123 0.627
Fe: 0.500 0.500 0.000
Fe: 0.500 0.500 0.500
Fe: 0.628 0.877 0.373
Fe: 0.628 0.877 0.627
Fe: 0.628 0.879 0.124
Fe: 0.628 0.879 0.876
Fe: 0.751 0.249 0.248
Fe: 0.751 0.249 0.752
Fe: 0.877 0.628 0.373
Fe: 0.877 0.628 0.627
Fe: 0.879 0.628 0.124
Fe: 0.879 0.628 0.876
Pt: 0.000 0.000 0.250
Pt: 0.000 0.000 0.750
Pt: 0.253 0.747 0.000
Pt: 0.747 0.253 0.000
Au: 0.252 0.748 0.500
Au: 0.500 0.500 0.249
Au: 0.500 0.500 0.751
Au: 0.748 0.252 0.500

Values from the calculation:
The calculation puts the formation energy at 2 kJ per mole of atoms. The value obtained for the total magnetization is 16.5 μB per formula unit.